[1]
A plane-wave DFT calculation with GGA-PBE was carried out for CsHSe2 after structural relaxation.

Unit cell a=4.6191 b=4.6191 c=18.8956 alpha=90.00 beta=90.00 gamma=120.00
Space group R-3m (No. 166, hexagonal axes)
Inequivalent atoms, fractional coordinates:
Cs: 0.0000 0.0000 0.0000 (multiplicity 3)
H: 0.0000 0.0000 0.5000 (multiplicity 3)
Se: 0.0000 0.0000 0.1792 (multiplicity 6)

Properties
The calculation puts the magnetization at 0.00 Bohr magnetons per cell. For the total DFT energy (no corrections), the calculation gives -2.73 eV/atom.

[2]
A plane-wave DFT calculation with GGA-PBE was carried out for Cs2HSe after structural relaxation.

Unit cell a=9.911 b=9.529 c=5.257 alpha=90.00 beta=121.97 gamma=90.00
Space group Cm (No. 8)
Inequivalent atoms, fractional coordinates:
Cs: 0.000 0.238 0.000 (multiplicity 4)
H: 0.023 0.000 0.522 (multiplicity 2)
Se: 0.341 0.500 0.341 (multiplicity 2)

Properties
The calculation puts the magnetization at 0.77 Bohr magnetons per cell. For the total DFT energy (no corrections), the calculation gives -2.64 eV/atom.

[3]
A plane-wave DFT calculation with GGA-PBE was carried out for CsHSe3 after structural relaxation.

Unit cell a=6.727 b=7.192 c=7.203 alpha=83.17 beta=88.90 gamma=86.30
Space group P-1 (No. 2)
Inequivalent atoms, fractional coordinates:
Cs: 0.015 0.201 0.211 (multiplicity 2)
H: 0.451 0.703 0.015 (multiplicity 2)
Se: 0.084 0.313 0.691 (multiplicity 2)
Se: 0.256 0.588 0.400 (multiplicity 2)
Se: 0.446 0.813 0.178 (multiplicity 2)

Properties
The calculation puts the magnetization at 0.00 Bohr magnetons per cell. For the total DFT energy (no corrections), the calculation gives -3.35 eV/atom.

[4]
A plane-wave DFT calculation with GGA-PBE was carried out for CsHSe3 after structural relaxation.

Unit cell a=5.518 b=14.736 c=7.905 alpha=90.00 beta=107.17 gamma=90.00
Space group C2/c (No. 15)
Inequivalent atoms, fractional coordinates:
Cs: 0.000 0.141 0.250 (multiplicity 4)
H: 0.000 0.420 0.250 (multiplicity 4)
Se: 0.000 0.176 0.750 (multiplicity 4)
Se: 0.154 0.416 0.081 (multiplicity 8)

Properties
The calculation puts the magnetization at 0.00 Bohr magnetons per cell. For the total DFT energy (no corrections), the calculation gives -3.37 eV/atom.

[5]
A plane-wave DFT calculation with GGA-PBE was carried out for Cs2H6Se after structural relaxation.

Unit cell a=7.453 b=21.500 c=6.080 alpha=90.00 beta=112.99 gamma=90.00
Space group C2/c (No. 15)
Inequivalent atoms, fractional coordinates:
Cs: 0.226 0.072 0.117 (multiplicity 8)
H: 0.000 0.307 0.688 (multiplicity 8)
H: 0.042 0.182 0.730 (multiplicity 8)
H: 0.231 0.075 0.619 (multiplicity 8)
Se: 0.000 0.422 0.250 (multiplicity 4)

Properties
The calculation puts the magnetization at 0.00 Bohr magnetons per cell. For the total DFT energy (no corrections), the calculation gives -3.01 eV/atom.

[6]
A plane-wave DFT calculation with GGA-PBE was carried out for CsSiHSe3 after structural relaxation.

Unit cell a=13.975 b=7.758 c=6.940 alpha=90.00 beta=109.20 gamma=90.00
Space group C2/m (No. 12)
Inequivalent atoms, fractional coordinates:
Cs: 0.153 0.000 0.252 (multiplicity 4)
Si: 0.058 0.500 0.848 (multiplicity 4)
H: 0.000 0.259 0.500 (multiplicity 4)
Se: 0.105 0.251 0.734 (multiplicity 8)
Se: 0.117 0.500 0.204 (multiplicity 4)

Properties
The calculation puts the magnetization at 0.00 Bohr magnetons per cell. For the total DFT energy (no corrections), the calculation gives -3.99 eV/atom.

[7]
A plane-wave DFT calculation with GGA-PBE was carried out for CsSrHSe2 after structural relaxation.

Unit cell a=8.456 b=17.098 c=4.729 alpha=90.00 beta=90.00 gamma=90.00
Space group Cmme (No. 67)
Inequivalent atoms, fractional coordinates:
Cs: 0.000 0.250 0.191 (multiplicity 4)
Sr: 0.250 0.000 0.000 (multiplicity 4)
H: 0.000 0.000 0.500 (multiplicity 4)
Se: 0.000 0.094 0.677 (multiplicity 8)

Properties
The calculation puts the magnetization at 0.00 Bohr magnetons per cell. For the total DFT energy (no corrections), the calculation gives -3.64 eV/atom.

[8]
A plane-wave DFT calculation with GGA-PBE was carried out for CsTeHSe after structural relaxation.

Unit cell a=4.798 b=5.544 c=5.739 alpha=93.41 beta=110.36 gamma=90.51
Space group P1 (No. 1)
Inequivalent atoms, fractional coordinates:
Cs: 0.000 0.000 0.000 (multiplicity 1)
Te: 0.552 0.544 0.441 (multiplicity 1)
H: 0.929 0.493 0.572 (multiplicity 1)
Se: 0.453 0.474 0.853 (multiplicity 1)

Properties
The calculation puts the magnetization at 0.00 Bohr magnetons per cell. For the total DFT energy (no corrections), the calculation gives -3.15 eV/atom.

[9]
A plane-wave DFT calculation with GGA-PBE was carried out for Cs4Te2H2Se after structural relaxation.

Unit cell a=9.465 b=9.465 c=9.347 alpha=90.00 beta=120.33 gamma=90.00
Space group C2/m (No. 12)
Inequivalent atoms, fractional coordinates:
Cs: 0.123 0.250 0.247 (multiplicity 8)
Te: 0.248 0.000 0.996 (multiplicity 4)
H: 0.140 0.500 0.780 (multiplicity 4)
Se: 0.000 0.500 0.500 (multiplicity 2)

Properties
The calculation puts the magnetization at 0.00 Bohr magnetons per cell. For the total DFT energy (no corrections), the calculation gives -2.89 eV/atom.

[10]
A plane-wave DFT calculation with GGA-PBE was carried out for CsTeHSe after structural relaxation.

Unit cell a=4.989 b=5.689 c=5.800 alpha=77.04 beta=88.64 gamma=64.14
Space group P1 (No. 1)
Inequivalent atoms, fractional coordinates:
Cs: 0.000 0.000 0.000 (multiplicity 1)
Te: 0.593 0.738 0.544 (multiplicity 1)
H: 0.169 0.460 0.495 (multiplicity 1)
Se: 0.497 0.346 0.439 (multiplicity 1)

Properties
The calculation puts the magnetization at 0.00 Bohr magnetons per cell. For the total DFT energy (no corrections), the calculation gives -3.19 eV/atom.

[11]
A plane-wave DFT calculation with GGA-PBE was carried out for CsTeHSe after structural relaxation.

Unit cell a=4.941 b=5.532 c=6.235 alpha=106.58 beta=91.97 gamma=115.64
Space group P1 (No. 1)
Inequivalent atoms, fractional coordinates:
Cs: 0.000 0.000 0.000 (multiplicity 1)
Te: 0.570 0.138 0.533 (multiplicity 1)
H: 0.838 0.789 0.445 (multiplicity 1)
Se: 0.039 0.640 0.423 (multiplicity 1)

Properties
The calculation puts the magnetization at 0.00 Bohr magnetons per cell. For the total DFT energy (no corrections), the calculation gives -3.19 eV/atom.

[12]
A plane-wave DFT calculation with GGA-PBE was carried out for CsTeHSe after structural relaxation.

Unit cell a=4.499 b=5.610 c=5.746 alpha=95.14 beta=105.69 gamma=90.20
Space group P1 (No. 1)
Inequivalent atoms, fractional coordinates:
Cs: 0.000 0.000 0.000 (multiplicity 1)
Te: 0.352 0.495 0.550 (multiplicity 1)
H: 0.718 0.460 0.727 (multiplicity 1)
Se: 0.547 0.521 0.169 (multiplicity 1)

Properties
The calculation puts the magnetization at 0.00 Bohr magnetons per cell. For the total DFT energy (no corrections), the calculation gives -3.14 eV/atom.